This record from Alexandria describes crystalline LuGaAgIr at its relaxed geometry. The functional is GGA-PBE.

Properties
DOS at the Fermi energy: 2.73 states/eV/f.u.
magnetization: 0.0 Bohr magnetons per cell
volume: 284 Å³/cell
E_form: -42.4 kJ per mole of atoms
uncorrected energy: -5.25 eV/atom

a b c (Å): 6.575 6.575 6.575
angles (deg): 90.00 90.00 90.00
Positions (direct):
1 Lu 0.000 0.000 0.000
2 Lu 0.000 0.500 0.500
3 Lu 0.500 0.000 0.500
4 Lu 0.500 0.500 0.000
5 Ga 0.000 0.000 0.500
6 Ga 0.000 0.500 0.000
7 Ga 0.500 0.000 0.000
8 Ga 0.500 0.500 0.500
9 Ag 0.250 0.250 0.750
10 Ag 0.250 0.750 0.250
11 Ag 0.750 0.250 0.250
12 Ag 0.750 0.750 0.750
13 Ir 0.250 0.250 0.250
14 Ir 0.250 0.750 0.750
15 Ir 0.750 0.250 0.750
16 Ir 0.750 0.750 0.250

---

This record from Alexandria describes crystalline GaAgMo2Ir at its relaxed geometry. The functional is GGA-PBE.

Properties
DOS at the Fermi energy: 5.27 states/eV/f.u.
magnetization: 3.0 Bohr magnetons per cell
volume: 110 Å³/cell
E_form: 117.5 kJ per mole of atoms
uncorrected energy: -6.06 eV/atom

a b c (Å): 4.840 4.840 4.707
angles (deg): 90.00 90.00 90.00
Positions (direct):
1 Ga 0.000 0.000 0.000
2 Ag 0.500 0.500 0.000
3 Mo 0.000 0.500 0.500
4 Mo 0.500 0.000 0.500
5 Ir 0.000 0.000 0.500

---

This record from Alexandria describes crystalline GaAg2MoIr at its relaxed geometry. The functional is GGA-PBE.

Properties
DOS at the Fermi energy: 5.98 states/eV/f.u.
magnetization: 2.6 Bohr magnetons per cell
volume: 100 Å³/cell
E_form: 138.2 kJ per mole of atoms
uncorrected energy: -4.25 eV/atom

a b c (Å): 4.581 4.581 4.776
angles (deg): 90.00 90.00 90.00
Positions (direct):
1 Ga 0.000 0.000 0.000
2 Ag 0.000 0.500 0.000
3 Ag 0.500 0.000 0.000
4 Mo 0.000 0.000 0.500
5 Ir 0.500 0.500 0.500

---

This record from Alexandria describes crystalline Ga2AgIrN at its relaxed geometry. The functional is GGA-PBE.

Properties
DOS at the Fermi energy: 4.79 states/eV/f.u.
magnetization: 0.9 Bohr magnetons per cell
ΔE_f (raw): 2.039 eV/atom
volume: 120 Å³/cell
uncorrected energy: -3.18 eV/atom

a b c (Å): 4.852 4.852 5.104
angles (deg): 90.00 90.00 90.00
Positions (direct):
1 Ga 0.000 0.500 0.000
2 Ga 0.500 0.000 0.000
3 Ag 0.000 0.000 0.000
4 Ir 0.000 0.000 0.500
5 N 0.500 0.500 0.500

---

This record from Alexandria describes crystalline Nd2Ga4AgIr3 at its relaxed geometry. The functional is GGA-PBE.

Properties
DOS at the Fermi energy: 8.11 states/eV/f.u.
magnetization: 0.0 Bohr magnetons per cell
volume: 193 Å³/cell
E_form: -57.1 kJ per mole of atoms
uncorrected energy: -5.70 eV/atom

a b c (Å): 4.269 4.269 10.613
angles (deg): 90.00 90.00 90.00
Positions (direct):
1 Nd 0.000 0.500 0.244
2 Nd 0.500 0.000 0.756
3 Ga 0.000 0.000 0.000
4 Ga 0.000 0.500 0.635
5 Ga 0.500 0.000 0.365
6 Ga 0.500 0.500 0.000
7 Ag 0.000 0.000 0.500
8 Ir 0.000 0.500 0.869
9 Ir 0.500 0.000 0.131
10 Ir 0.500 0.500 0.500

---

This record from Alexandria describes crystalline Ga2AgIrO8 at its relaxed geometry. The functional is GGA-PBE.

Properties
DOS at the Fermi energy: 7.16 states/eV/f.u.
magnetization: 0.2 Bohr magnetons per cell
ΔE_f (raw): -0.830 eV/atom
volume: 134 Å³/cell
uncorrected energy: -5.62 eV/atom

a b c (Å): 4.576 6.382 4.601
angles (deg): 90.00 91.71 90.00
Positions (direct):
1 Ga 0.000 0.245 0.000
2 Ga 0.000 0.755 0.000
3 Ag 0.500 0.000 0.500
4 Ir 0.500 0.500 0.500
5 O 0.189 0.000 0.181
6 O 0.203 0.500 0.198
7 O 0.298 0.279 0.695
8 O 0.298 0.721 0.695
9 O 0.702 0.279 0.305
10 O 0.702 0.721 0.305
11 O 0.797 0.500 0.802
12 O 0.811 0.000 0.819

---

This record from Alexandria describes crystalline GaAgIrO6 at its relaxed geometry. The functional is GGA-PBE.

Properties
DOS at the Fermi energy: 6.29 states/eV/f.u.
magnetization: 0.0 Bohr magnetons per cell
ΔE_f (raw): -0.696 eV/atom
volume: 215 Å³/cell
uncorrected energy: -5.64 eV/atom

a b c (Å): 5.189 5.189 9.208
angles (deg): 90.00 90.00 120.00
Positions (direct):
1 Ga 0.333 0.667 0.250
2 Ga 0.667 0.333 0.750
3 Ag 0.000 0.000 0.000
4 Ag 0.000 0.000 0.500
5 Ir 0.333 0.667 0.750
6 Ir 0.667 0.333 0.250
7 O 0.011 0.375 0.635
8 O 0.011 0.636 0.865
9 O 0.364 0.375 0.865
10 O 0.364 0.989 0.635
11 O 0.375 0.011 0.135
12 O 0.375 0.364 0.365
13 O 0.625 0.636 0.635
14 O 0.625 0.989 0.865
15 O 0.636 0.011 0.365
16 O 0.636 0.625 0.135
17 O 0.989 0.364 0.135
18 O 0.989 0.625 0.365

---

This record from Alexandria describes crystalline Pm2Ga4AgIr3 at its relaxed geometry. The functional is GGA-PBE.

Properties
DOS at the Fermi energy: 7.20 states/eV/f.u.
magnetization: 0.0 Bohr magnetons per cell
volume: 192 Å³/cell
E_form: -57.4 kJ per mole of atoms
uncorrected energy: -5.70 eV/atom

a b c (Å): 4.220 4.220 10.761
angles (deg): 90.00 90.00 90.00
Positions (direct):
1 Pm 0.000 0.500 0.242
2 Pm 0.500 0.000 0.758
3 Ga 0.000 0.000 0.000
4 Ga 0.000 0.500 0.637
5 Ga 0.500 0.000 0.363
6 Ga 0.500 0.500 0.000
7 Ag 0.000 0.000 0.500
8 Ir 0.000 0.500 0.867
9 Ir 0.500 0.000 0.133
10 Ir 0.500 0.500 0.500

---

This record from Alexandria describes crystalline RbGaAgIr2 at its relaxed geometry. The functional is GGA-PBE.

Properties
DOS at the Fermi energy: 10.70 states/eV/f.u.
magnetization: 1.2 Bohr magnetons per cell
volume: 127 Å³/cell
E_form: 135.3 kJ per mole of atoms
uncorrected energy: -3.51 eV/atom

a b c (Å): 5.101 5.101 4.898
angles (deg): 90.00 90.00 90.00
Positions (direct):
1 Rb 0.000 0.000 0.000
2 Ga 0.500 0.500 0.000
3 Ag 0.500 0.500 0.500
4 Ir 0.000 0.500 0.500
5 Ir 0.500 0.000 0.500

---

This record from Alexandria describes crystalline Sr2Ga4AgIr3 at its relaxed geometry. The functional is GGA-PBE.

Properties
DOS at the Fermi energy: 5.63 states/eV/f.u.
magnetization: 0.0 Bohr magnetons per cell
volume: 201 Å³/cell
E_form: -46.5 kJ per mole of atoms
uncorrected energy: -4.97 eV/atom

a b c (Å): 4.391 4.391 10.424
angles (deg): 90.00 90.00 90.00
Positions (direct):
1 Sr 0.000 0.500 0.248
2 Sr 0.500 0.000 0.752
3 Ga 0.000 0.000 0.000
4 Ga 0.000 0.500 0.633
5 Ga 0.500 0.000 0.367
6 Ga 0.500 0.500 0.000
7 Ag 0.000 0.000 0.500
8 Ir 0.000 0.500 0.874
9 Ir 0.500 0.000 0.126
10 Ir 0.500 0.500 0.500

---

This record from Alexandria describes crystalline Sr2GaAgIr at its relaxed geometry. The functional is GGA-PBE.

Properties
DOS at the Fermi energy: 2.46 states/eV/f.u.
magnetization: 0.0 Bohr magnetons per cell
volume: 161 Å³/cell
E_form: -20.2 kJ per mole of atoms
uncorrected energy: -3.83 eV/atom

a b c (Å): 5.793 5.793 4.788
angles (deg): 90.00 90.00 90.00
Positions (direct):
1 Sr 0.000 0.500 0.000
2 Sr 0.500 0.000 0.000
3 Ga 0.000 0.000 0.500
4 Ag 0.500 0.500 0.500
5 Ir 0.000 0.000 0.000

---

This record from Alexandria describes crystalline ZnGaAgIr at its relaxed geometry. The functional is GGA-PBE.

Properties
DOS at the Fermi energy: 1.79 states/eV/f.u.
magnetization: 0.0 Bohr magnetons per cell
volume: 242 Å³/cell
E_form: -12.4 kJ per mole of atoms
uncorrected energy: -4.13 eV/atom

a b c (Å): 6.231 6.231 6.231
angles (deg): 90.00 90.00 90.00
Positions (direct):
1 Zn 0.000 0.000 0.000
2 Zn 0.000 0.500 0.500
3 Zn 0.500 0.000 0.500
4 Zn 0.500 0.500 0.000
5 Ga 0.000 0.000 0.500
6 Ga 0.000 0.500 0.000
7 Ga 0.500 0.000 0.000
8 Ga 0.500 0.500 0.500
9 Ag 0.250 0.250 0.750
10 Ag 0.250 0.750 0.250
11 Ag 0.750 0.250 0.250
12 Ag 0.750 0.750 0.750
13 Ir 0.250 0.250 0.250
14 Ir 0.250 0.750 0.750
15 Ir 0.750 0.250 0.750
16 Ir 0.750 0.750 0.250

---

This record from Alexandria describes crystalline ZrGaAgIr at its relaxed geometry. The functional is GGA-PBE.

Properties
DOS at the Fermi energy: 3.49 states/eV/f.u.
magnetization: 0.0 Bohr magnetons per cell
volume: 276 Å³/cell
E_form: -36.7 kJ per mole of atoms
uncorrected energy: -6.20 eV/atom

a b c (Å): 6.512 6.512 6.512
angles (deg): 90.00 90.00 90.00
Positions (direct):
1 Zr 0.000 0.000 0.000
2 Zr 0.000 0.500 0.500
3 Zr 0.500 0.000 0.500
4 Zr 0.500 0.500 0.000
5 Ga 0.000 0.000 0.500
6 Ga 0.000 0.500 0.000
7 Ga 0.500 0.000 0.000
8 Ga 0.500 0.500 0.500
9 Ag 0.250 0.250 0.250
10 Ag 0.250 0.750 0.750
11 Ag 0.750 0.250 0.750
12 Ag 0.750 0.750 0.250
13 Ir 0.250 0.250 0.750
14 Ir 0.250 0.750 0.250
15 Ir 0.750 0.250 0.250
16 Ir 0.750 0.750 0.750

---

This record from Alexandria describes crystalline KGaAg2 at its relaxed geometry. The functional is GGA-PBE.

Properties
DOS at the Fermi energy: 1.32 states/eV/f.u.
magnetization: 0.0 Bohr magnetons per cell
volume: 96 Å³/cell
E_form: 11.8 kJ per mole of atoms
excess energy over the best structure of this formula in the dataset: 0.175 eV/atom
uncorrected energy: -2.33 eV/atom

a b c (Å): 3.427 3.427 8.186
angles (deg): 90.00 90.00 90.00
Positions (direct):
1 K 0.000 0.000 0.000
2 Ga 0.000 0.000 0.500
3 Ag 0.500 0.500 0.319
4 Ag 0.500 0.500 0.681

---

This record from Alexandria describes crystalline KGa8Ag6 at its relaxed geometry. The functional is GGA-PBE.

Properties
DOS at the Fermi energy: 4.40 states/eV/f.u.
magnetization: 0.0 Bohr magnetons per cell
volume: 297 Å³/cell
E_form: 0.6 kJ per mole of atoms
uncorrected energy: -2.82 eV/atom

a b c (Å): 7.015 7.015 7.015
angles (deg): 70.54 70.54 70.54
Positions (direct):
1 K 0.000 0.000 0.000
2 Ga 0.144 0.801 0.476
3 Ga 0.199 0.524 0.856
4 Ga 0.222 0.222 0.222
5 Ga 0.476 0.144 0.801
6 Ga 0.524 0.856 0.199
7 Ga 0.778 0.778 0.778
8 Ga 0.801 0.476 0.144
9 Ga 0.856 0.199 0.524
10 Ag 0.165 0.339 0.584
11 Ag 0.339 0.584 0.165
12 Ag 0.416 0.835 0.661
13 Ag 0.584 0.165 0.339
14 Ag 0.661 0.416 0.835
15 Ag 0.835 0.661 0.416

---

This record from Alexandria describes crystalline K3Ga2Ag3 at its relaxed geometry. The functional is GGA-PBE.

Properties
DOS at the Fermi energy: 2.25 states/eV/f.u.
magnetization: 0.0 Bohr magnetons per cell
volume: 442 Å³/cell
E_form: 5.1 kJ per mole of atoms
uncorrected energy: -2.18 eV/atom

a b c (Å): 5.987 5.987 15.663
angles (deg): 90.00 90.00 128.15
Positions (direct):
1 K 0.002 0.998 0.750
2 K 0.159 0.841 0.536
3 K 0.159 0.841 0.964
4 K 0.841 0.159 0.036
5 K 0.841 0.159 0.464
6 K 0.998 0.002 0.250
7 Ga 0.287 0.713 0.171
8 Ga 0.287 0.713 0.329
9 Ga 0.713 0.287 0.671
10 Ga 0.713 0.287 0.829
11 Ag 0.303 0.697 0.750
12 Ag 0.479 0.521 0.602
13 Ag 0.479 0.521 0.898
14 Ag 0.521 0.479 0.102
15 Ag 0.521 0.479 0.398
16 Ag 0.697 0.303 0.250

---

This record from Alexandria describes crystalline KGaAg at its relaxed geometry. The functional is GGA-PBE.

Properties
DOS at the Fermi energy: 2.20 states/eV/f.u.
magnetization: 0.0 Bohr magnetons per cell
volume: 92 Å³/cell
E_form: 3.4 kJ per mole of atoms
excess energy over the best structure of this formula in the dataset: 0.084 eV/atom
uncorrected energy: -2.29 eV/atom

a b c (Å): 4.546 4.546 5.121
angles (deg): 90.00 90.00 120.00
Positions (direct):
1 K 0.000 0.000 0.000
2 Ga 0.333 0.667 0.500
3 Ag 0.667 0.333 0.500

---

This record from Alexandria describes crystalline KGa6Ag8 at its relaxed geometry. The functional is GGA-PBE.

Properties
DOS at the Fermi energy: 5.70 states/eV/f.u.
magnetization: 0.0 Bohr magnetons per cell
volume: 301 Å³/cell
E_form: 2.3 kJ per mole of atoms
uncorrected energy: -2.78 eV/atom

a b c (Å): 6.950 6.950 6.950
angles (deg): 73.55 73.55 73.55
Positions (direct):
1 K 0.000 0.000 0.000
2 Ga 0.169 0.565 0.364
3 Ga 0.364 0.169 0.565
4 Ga 0.435 0.636 0.831
5 Ga 0.565 0.364 0.169
6 Ga 0.636 0.831 0.435
7 Ga 0.831 0.435 0.636
8 Ag 0.141 0.457 0.805
9 Ag 0.195 0.859 0.543
10 Ag 0.216 0.216 0.216
11 Ag 0.457 0.805 0.141
12 Ag 0.543 0.195 0.859
13 Ag 0.784 0.784 0.784
14 Ag 0.805 0.141 0.457
15 Ag 0.859 0.543 0.195

---

This record from Alexandria describes crystalline K2GaAg at its relaxed geometry. The functional is GGA-PBE.

Properties
DOS at the Fermi energy: 4.48 states/eV/f.u.
magnetization: 3.1 Bohr magnetons per cell
volume: 556 Å³/cell
E_form: 22.7 kJ per mole of atoms
excess energy over the best structure of this formula in the dataset: 0.246 eV/atom
uncorrected energy: -1.78 eV/atom

a b c (Å): 8.221 8.221 8.221
angles (deg): 90.00 90.00 90.00
Positions (direct):
1 K 0.250 0.250 0.250
2 K 0.250 0.250 0.750
3 K 0.250 0.750 0.250
4 K 0.250 0.750 0.750
5 K 0.750 0.250 0.250
6 K 0.750 0.250 0.750
7 K 0.750 0.750 0.250
8 K 0.750 0.750 0.750
9 Ga 0.000 0.000 0.000
10 Ga 0.000 0.500 0.500
11 Ga 0.500 0.000 0.500
12 Ga 0.500 0.500 0.000
13 Ag 0.000 0.000 0.500
14 Ag 0.000 0.500 0.000
15 Ag 0.500 0.000 0.000
16 Ag 0.500 0.500 0.500

---

This record from Alexandria describes crystalline K2Ga2Ag3 at its relaxed geometry. The functional is GGA-PBE.

Properties
DOS at the Fermi energy: 1.95 states/eV/f.u.
magnetization: 0.0 Bohr magnetons per cell
volume: 385 Å³/cell
E_form: -6.3 kJ per mole of atoms
uncorrected energy: -2.47 eV/atom

a b c (Å): 12.634 4.472 8.126
angles (deg): 90.00 123.06 90.00
Positions (direct):
1 K 0.141 0.000 0.256
2 K 0.359 0.500 0.744
3 K 0.641 0.500 0.256
4 K 0.859 0.000 0.744
5 Ga 0.113 0.000 0.702
6 Ga 0.387 0.500 0.298
7 Ga 0.613 0.500 0.702
8 Ga 0.887 0.000 0.298
9 Ag 0.000 0.500 0.500
10 Ag 0.167 0.500 0.919
11 Ag 0.333 0.000 0.081
12 Ag 0.500 0.000 0.500
13 Ag 0.667 0.000 0.919
14 Ag 0.833 0.500 0.081